DFT (PBE+U) results for an optimized crystal structure of CrRe3F.

* DFT total energy: -7.565 eV/atom
* SG: No. 221
* V: 14.5 Å³/atom
* energy relative to the lowest polymorph listed for this composition: 0.00 eV/f.u.

```
CrRe3F
1.0
4.174 0.000 0.000
0.000 4.174 0.000
0.000 0.000 4.174
Re Cr F
3 1 1
direct
0.000 0.500 0.000 Re
0.500 0.000 0.000 Re
0.000 0.000 0.500 Re
0.500 0.500 0.500 Cr
0.000 0.000 0.000 F
```